This record from Alexandria describes a geometry-optimized SiSbAu2 structure. The functional is PBE-GGA.

The space group is Imm2 (No. 44) and the conventional cell measures 3.698, 5.265 and 8.279 Å, with angles of 90.00, 90.00 and 90.00 degrees. The inequivalent atoms are Si at (0.000, 0.000, 0.000), Sb at (0.000, 0.500, 0.764), Au at (0.000, 0.000, 0.530) and Au at (0.000, 0.500, 0.293).

For the volume, the calculation gives 161.2 Å³/cell. Its formation energy (no corrections) is 237 meV per atom.

---

This record from Alexandria describes a geometry-optimized SiSbAu2 structure. The functional is PBE-GGA.

The space group is I-4m2 (No. 119) and the conventional cell measures 4.362, 4.362 and 8.358 Å, with angles of 90.00, 90.00 and 90.00 degrees. The inequivalent atoms are Si at (0.000, 0.000, 0.000), Sb at (0.000, 0.500, 0.250), Au at (0.000, 0.000, 0.500) and Au at (0.000, 0.500, 0.750).

For the volume, the calculation gives 159.0 Å³/cell. Its formation energy (no corrections) is 277 meV per atom.

---

This record from Alexandria describes a geometry-optimized Si2SbAu structure. The functional is PBE-GGA.

The space group is P2/m (No. 10) and the conventional cell measures 4.644, 3.840 and 4.782 Å, with angles of 90.00, 103.80 and 90.00 degrees. The inequivalent atoms are Si at (0.226, 0.000, 0.179), Sb at (0.000, 0.500, 0.500) and Au at (0.500, 0.500, 0.000).

For the volume, the calculation gives 82.8 Å³/cell. Its formation energy (no corrections) is 195 meV per atom.

---

This record from Alexandria describes a geometry-optimized Si2SbAu structure. The functional is PBE-GGA.

The space group is Pmmm (No. 47) and the conventional cell measures 2.956, 4.999 and 5.326 Å, with angles of 90.00, 90.00 and 90.00 degrees. The inequivalent atoms are Si at (0.000, 0.000, 0.000), Si at (0.500, 0.500, 0.000), Sb at (0.000, 0.500, 0.500) and Au at (0.500, 0.000, 0.500).

For the volume, the calculation gives 78.7 Å³/cell. Its formation energy (no corrections) is 501 meV per atom.

---

This record from Alexandria describes a geometry-optimized Si2SbAu structure. The functional is PBE-GGA.

The space group is P4/mmm (No. 123) and the conventional cell measures 3.273, 3.273 and 7.180 Å, with angles of 90.00, 90.00 and 90.00 degrees. The inequivalent atoms are Si at (0.000, 0.000, 0.218), Sb at (0.500, 0.500, 0.500) and Au at (0.500, 0.500, 0.000).

For the volume, the calculation gives 76.9 Å³/cell. Its formation energy (no corrections) is 423 meV per atom.

---

This record from Alexandria describes a geometry-optimized SiSbAu2 structure. The functional is PBE-GGA.

The space group is Immm (No. 71) and the conventional cell measures 4.079, 4.738 and 8.251 Å, with angles of 90.00, 90.00 and 90.00 degrees. The inequivalent atoms are Si at (0.000, 0.000, 0.000), Sb at (0.000, 0.000, 0.500) and Au at (0.000, 0.500, 0.267).

For the volume, the calculation gives 159.4 Å³/cell. Its formation energy (no corrections) is 259 meV per atom.